Entry from Alexandria via LeMat-Bulk: an optimized crystal structure of Rb2Cu2BiO6 (GGA-PBE).

Geometry as extended XYZ:
```
11
Lattice="6.0270 0.0000 0.0000 3.0135 5.2195 0.0000 3.0135 1.7398 6.2163" Properties=species:S:1:pos:R:3 pbc="T T T"
Rb 9.0404 5.2195 3.9246
Rb 3.0135 1.7398 2.2917
Cu 6.0269 3.4797 4.9650
Cu 6.0270 3.4797 1.2513
Bi 0.0000 0.0000 0.0000
O 7.5887 4.3814 1.3938
O 4.4652 4.3814 1.3938
O 6.0270 1.6763 1.3938
O 6.0270 5.2831 4.8225
O 7.5888 2.5780 4.8225
O 4.4652 2.5780 4.8225
```

energy	-0.1782	Ha/atom
N(E_F)	0.735	states/eV/atom



Entry from Alexandria via LeMat-Bulk: an optimized crystal structure of Rb2CuBiO4 (GGA-PBE).

Geometry as extended XYZ:
```
16
Lattice="5.8914 0.0000 0.0000 2.9457 6.6441 0.0000 2.9457 0.0000 10.9100" Properties=species:S:1:pos:R:3 pbc="T T T"
Rb 2.9457 0.0000 6.8006
Rb 5.8914 0.0000 4.1094
Rb 7.3643 3.3221 9.5644
Rb 7.3643 3.3221 1.3456
Cu 4.4186 3.3221 5.4550
Cu 2.9457 0.0000 0.0000
Bi 7.3643 3.3221 5.4550
Bi 0.0000 0.0000 0.0000
O 4.5455 5.3318 0.6273
O 4.5455 1.3124 10.2827
O 10.1831 5.3318 10.2827
O 4.2916 1.3124 0.6273
O 5.7645 4.6344 4.8277
O 5.7645 2.0097 6.0823
O 8.9640 4.6344 6.0823
O 3.0726 2.0097 4.8277
```

energy	-0.1675	Ha/atom
N(E_F)	0.275	states/eV/atom



Entry from Alexandria via LeMat-Bulk: an optimized crystal structure of CuBiRhO5 (GGA-PBE).

Geometry as extended XYZ:
```
16
Lattice="5.6610 -0.2104 -0.0611 -1.8537 5.3530 -0.0611 -1.6476 -2.2255 6.7947" Properties=species:S:1:pos:R:3 pbc="T T T"
Cu 2.7728 1.0665 1.6376
Cu -0.6132 1.8506 5.0349
Bi 0.1453 3.0117 1.6376
Bi 2.0143 -0.0946 5.0349
Rh -0.8238 -1.1128 3.3974
Rh 0.0000 0.0000 0.0000
O -1.6976 4.3761 1.6376
O 3.8572 -1.4590 5.0349
O 4.2962 1.1776 0.4767
O -2.1366 1.7395 6.1958
O 3.1113 -0.4230 2.7984
O -0.9516 3.3401 3.8741
O 2.0765 2.3313 2.8478
O 0.0831 0.5858 3.8247
O 1.3599 1.3633 0.4273
O 0.7998 1.5538 6.2451
```

energy	-0.2116	Ha/atom
N(E_F)	0.739	states/eV/atom



Entry from Alexandria via LeMat-Bulk: an optimized crystal structure of CuBiRhO6 (GGA-PBE).

Geometry as extended XYZ:
```
18
Lattice="4.7426 0.0000 0.0000 0.0000 4.7426 0.0000 0.0000 0.0000 9.6579" Properties=species:S:1:pos:R:3 pbc="T T T"
Cu 2.3713 2.3713 4.8169
Cu 0.0000 0.0000 9.6458
Bi 2.3713 2.3713 1.6221
Bi 0.0000 0.0000 6.4510
Rh 2.3713 2.3713 8.0685
Rh 0.0000 0.0000 3.2396
O 0.9366 3.8059 4.7113
O 3.8059 0.9366 4.7113
O 1.4347 1.4347 9.5402
O 3.3079 3.3079 9.5402
O 0.8411 3.9015 1.6254
O 3.9015 0.8411 1.6254
O 1.5302 1.5302 6.4543
O 3.2123 3.2123 6.4543
O 3.7671 0.9755 8.1398
O 0.9755 3.7671 8.1398
O 3.3467 3.3467 3.3109
O 1.3958 1.3958 3.3109
```

energy	-0.2067	Ha/atom
N(E_F)	0.567	states/eV/atom



E_form (uncorrected) (computed, meV per atom): -871 -841 -742 -616